<i>
# Tc2SbCl, relaxed, DFT PBE
# Fermi-level density of states   4.13 states/eV per cell
data_Tc2SbCl
_cell_length_a 3.1999
_cell_length_b 3.1999
_cell_length_c 6.4802
_cell_angle_alpha 90.00
_cell_angle_beta 90.00
_cell_angle_gamma 90.00
_space_group_name_H-M_alt 'P 1'
_space_group_IT_number 1
loop_
_space_group_symop_operation_xyz
'x,y,z'
loop_
_atom_site_label
_atom_site_type_symbol
_atom_site_fract_x
_atom_site_fract_y
_atom_site_fract_z
Cl1 Cl 0.5000 0.5000 0.2500
Sb1 Sb 0.5000 0.5000 0.7500
Tc1 Tc 0.0000 0.0000 0.9911
Tc2 Tc 0.0000 0.0000 0.5089


<ii>
# Tc2SbCl, relaxed, DFT PBE
# Fermi-level density of states   2.85 states/eV per cell
data_Tc2SbCl
_cell_length_a 5.3824
_cell_length_b 5.3824
_cell_length_c 4.5443
_cell_angle_alpha 83.04
_cell_angle_beta 83.04
_cell_angle_gamma 33.28
_space_group_name_H-M_alt 'P 1'
_space_group_IT_number 1
loop_
_space_group_symop_operation_xyz
'x,y,z'
loop_
_atom_site_label
_atom_site_type_symbol
_atom_site_fract_x
_atom_site_fract_y
_atom_site_fract_z
Cl1 Cl 0.5170 0.5170 0.5674
Sb1 Sb 0.2753 0.2753 0.2145
Tc1 Tc 0.9909 0.9909 0.9555
Tc2 Tc 0.7167 0.7167 0.7626


Stability, descending: <ii>, <i>


<i>
# TbPuSc2, relaxed, DFT PBE
# Fermi-level density of states   11.75 states/eV per cell
data_TbPuSc2
_cell_length_a 3.2906
_cell_length_b 3.2906
_cell_length_c 11.7716
_cell_angle_alpha 81.97
_cell_angle_beta 81.97
_cell_angle_gamma 60.00
_space_group_name_H-M_alt 'P 1'
_space_group_IT_number 1
loop_
_space_group_symop_operation_xyz
'x,y,z'
loop_
_atom_site_label
_atom_site_type_symbol
_atom_site_fract_x
_atom_site_fract_y
_atom_site_fract_z
Sc1 Sc 0.0879 0.0879 0.7362
Sc2 Sc 0.9121 0.9121 0.2638
Tb1 Tb 0.5000 0.5000 0.5000
Pu1 Pu 0.0000 0.0000 0.0000


<ii>
# TbPuSc2, relaxed, DFT PBE
# Fermi-level density of states   13.62 states/eV per cell
data_TbPuSc2
_cell_length_a 4.4885
_cell_length_b 4.8717
_cell_length_c 4.8717
_cell_angle_alpha 90.00
_cell_angle_beta 90.00
_cell_angle_gamma 90.00
_space_group_name_H-M_alt 'P 1'
_space_group_IT_number 1
loop_
_space_group_symop_operation_xyz
'x,y,z'
loop_
_atom_site_label
_atom_site_type_symbol
_atom_site_fract_x
_atom_site_fract_y
_atom_site_fract_z
Sc1 Sc 0.0000 0.0000 0.5000
Sc2 Sc 0.0000 0.5000 0.0000
Tb1 Tb 0.5000 0.0000 0.0000
Pu1 Pu 0.5000 0.5000 0.5000


Stability, descending: <ii>, <i>